Ca2Cd2Pd | PBE | relaxed

Calculated values
The calculation puts the formation energy at -0.241 eV per atom. For the volume, the calculation gives 27.55 Å³ per atom. As for the uncorrected energy: -0.1798 Ry/atom. The value obtained for the density of states at the Fermi level is 3.02 states/eV per cell. The distance to the lowest polymorph of the same formula is 115 kJ/mol of formula units.

Cell: 3.9003 3.9003 18.1134 Å, 90.00 90.00 90.00°
Closest atoms and distances in Å follow each position.
Space group I4/mmm (No. 139)
Asymmetric unit:
Ca1 0.0000 0.0000 0.0909 (multiplicity 4)  4 Pd 3.21, 1 Ca 3.29, 4 Cd 3.48
Cd1 0.0000 0.5000 0.2500 (multiplicity 4)  4 Cd 2.76
Pd1 0.0000 0.0000 0.5000 (multiplicity 2)  8 Ca 3.21